No. 1
A plane-wave DFT calculation with PBE-GGA was carried out for a relaxed structure of K2TlGa.

Calculated density ... 3.810 g cm⁻³
Formation enthalpy at 0 K ... 0.266 eV/atom
Fermi-level density of states ... 0.55 states/eV/atom
ΔE to the lowest computed polymorph ... 326.3 meV per atom

Lattice parameters (Å, degrees): 3.7317 3.7317 38.1974 90.00 90.00 120.00
Space group R-3m (No. 166, hexagonal axes)
One atom of each set of equivalent atoms:
K  0.0000  0.0000  0.0878 x6
Tl  0.0000  0.0000  0.5000 x3
Ga  0.0000  0.0000  0.0000 x3

No. 2
A plane-wave DFT calculation with PBE-GGA was carried out for a relaxed structure of KTlGa4.

Calculated density ... 6.031 g cm⁻³
Formation enthalpy at 0 K ... 0.003 eV/atom
Fermi-level density of states ... 0.55 states/eV/atom

Lattice parameters (Å, degrees): 8.3172 8.3172 8.3172 90.00 90.00 90.00
Space group F-43m (No. 216)
One atom of each set of equivalent atoms:
K  0.0000  0.0000  0.0000 x4
Tl  0.2500  0.2500  0.7500 x4
Ga  0.1249  0.1249  0.3751 x16

No. 3
A plane-wave DFT calculation with PBE-GGA was carried out for a relaxed structure of KTl2Ga.

Calculated density ... 4.915 g cm⁻³
Formation enthalpy at 0 K ... 0.102 eV/atom
Fermi-level density of states ... 0.46 states/eV/atom
ΔE to the lowest computed polymorph ... 160.9 meV per atom

Lattice parameters (Å, degrees): 4.6967 4.6967 27.4589 90.00 90.00 120.00
Space group R-3m (No. 166, hexagonal axes)
One atom of each set of equivalent atoms:
K  0.0000  0.0000  0.0000 x3
Tl  0.0000  0.0000  0.1254 x6
Ga  0.0000  0.0000  0.5000 x3

No. 4
A plane-wave DFT calculation with PBE-GGA was carried out for a relaxed structure of K2Tl2Ga.

Calculated density ... 5.143 g cm⁻³
Formation enthalpy at 0 K ... -0.003 eV/atom
Fermi-level density of states ... 0.59 states/eV/atom
ΔE to the lowest computed polymorph ... 0.0 meV per atom

Lattice parameters (Å, degrees): 7.7560 7.7560 5.9757 90.00 90.00 90.00
Space group P4/mbm (No. 127)
One atom of each set of equivalent atoms:
K  0.1775  0.3225  0.0000 x4
Tl  0.1437  0.6437  0.5000 x4
Ga  0.0000  0.0000  0.5000 x2

No. 5
A plane-wave DFT calculation with PBE-GGA was carried out for a relaxed structure of KTl2Ga2.

Calculated density ... 6.591 g cm⁻³
Formation enthalpy at 0 K ... -0.018 eV/atom
Fermi-level density of states ... 0.39 states/eV/atom
ΔE to the lowest computed polymorph ... 53.6 meV per atom

Lattice parameters (Å, degrees): 4.8524 4.8524 12.5694 90.00 90.00 90.00
Space group I4/mmm (No. 139)
One atom of each set of equivalent atoms:
K  0.0000  0.0000  0.0000 x2
Tl  0.0000  0.0000  0.3783 x4
Ga  0.0000  0.5000  0.2500 x4

No. 6
A plane-wave DFT calculation with PBE-GGA was carried out for a relaxed structure of KTlGa3.

Calculated density ... 4.268 g cm⁻³
Formation enthalpy at 0 K ... 0.363 eV/atom
Fermi-level density of states ... 0.99 states/eV/atom
ΔE to the lowest computed polymorph ... 0.0 meV per atom

Lattice parameters (Å, degrees): 5.6051 5.6051 5.6051 90.00 90.00 90.00
Space group Pm-3m (No. 221)
One atom of each set of equivalent atoms:
K  0.0000  0.0000  0.0000 x1
Tl  0.5000  0.5000  0.5000 x1
Ga  0.0000  0.5000  0.5000 x3

> Which formula does entry 1 have?

K2TlGa

> Which formula does entry 5 have?

KTl2Ga2